VASP calculation (PBE-GGA) on an optimized crystal structure of Ta3Pt2Rh.

Values from the calculation:
As for the total energy: -9.7642 eV/atom. The value obtained for the formation energy is -0.599 eV/atom. For the magnetic moment, the calculation gives 0.0 μB per formula unit. As for the density of states at the Fermi level: 0.77 states/eV per atom. Its symmetry is P4/mmm, No. 123.

Lattice parameters (Å, degrees): 2.832 2.832 12.171 90.00 90.00 90.00
Fractional coordinates of all 6 atoms:
1 Ta 0.000 0.000 0.000
2 Ta 0.000 0.000 0.660
3 Ta 0.000 0.000 0.340
4 Pt 0.500 0.500 0.832
5 Pt 0.500 0.500 0.168
6 Rh 0.500 0.500 0.500

***

VASP calculation (PBE-GGA) on an optimized crystal structure of LaCeTlHg.

Values from the calculation:
As for the total energy: -3.7279 eV/atom. The value obtained for the formation energy is -0.346 eV/atom. For the magnetic moment, the calculation gives 2.1 μB per formula unit. The value obtained for the energy above the most stable polymorph in this dataset is 5 meV per atom. As for the density of states at the Fermi level: 2.54 states/eV per atom. Its symmetry is F-43m, No. 216.

Lattice parameters (Å, degrees): 5.538 5.538 5.538 60.00 60.00 60.00
Fractional coordinates of all 4 atoms:
1 Tl 0.000 0.000 0.000
2 Hg 0.500 0.500 0.500
3 Ce 0.250 0.250 0.250
4 La 0.750 0.750 0.750

***

VASP calculation (PBE-GGA) on an optimized crystal structure of Pr2CuH.

Values from the calculation:
As for the total energy: -4.3666 eV/atom. For the magnetic moment, the calculation gives 0.0 μB per formula unit. The value obtained for the energy above the most stable polymorph in this dataset is 0 meV per atom. As for the density of states at the Fermi level: 0.82 states/eV per atom. Its symmetry is R-3m, No. 166.

Lattice parameters (Å, degrees): 3.973 3.973 6.955 73.40 73.40 60.00
Fractional coordinates of all 4 atoms:
1 Pr 0.239 0.239 0.283
2 Pr 0.761 0.761 0.717
3 H 0.500 0.500 0.500
4 Cu 0.000 0.000 0.000

***

VASP calculation (PBE-GGA) on an optimized crystal structure of Th4Al.

Values from the calculation:
As for the total energy: -6.1345 eV/atom. The value obtained for the formation energy is 0.550 eV/atom. For the magnetic moment, the calculation gives 0.0 μB per formula unit. The value obtained for the energy above the most stable polymorph in this dataset is 0 meV per atom. As for the density of states at the Fermi level: 1.61 states/eV per atom. Its symmetry is Pm-3m, No. 221.

Lattice parameters (Å, degrees): 5.605 5.605 5.605 90.00 90.00 90.00
Fractional coordinates of all 5 atoms:
1 Al 0.500 0.500 0.500
2 Th 0.000 0.000 0.000
3 Th 0.500 0.000 0.500
4 Th 0.000 0.500 0.500
5 Th 0.500 0.500 0.000